Entry 1:
Below is a relaxed K3Dy crystal, with properties calculated at the PBE level.

Cell and atoms, written as POSCAR:
```
K3Dy
1.0
7.6932 -0.0982 0.0000
3.3345 6.9337 0.0000
-5.5139 -3.4178 4.1366
K Dy
3 1
direct
0.5000 0.5000 0.0000
0.2500 0.7500 0.5000
0.7500 0.2500 0.5000
0.0000 0.0000 0.0000
```

Properties
As for the formation energy: 2.3 eV per formula unit. For the uncorrected energy, the calculation gives -1.401 eV/atom. The energy above the most stable polymorph in this dataset comes out at 0.0 meV/atom.

Entry 2:
Below is a relaxed Er3AsSe3 crystal, with properties calculated at the PBE level.

Cell and atoms, written as POSCAR:
```
Er3AsSe3
1.0
8.4047 0.0000 0.0000
4.2023 7.2787 0.0000
4.2023 2.4262 5.8395
Er Se As
6 6 2
direct
0.9351 0.2947 0.2376
0.4675 0.0649 0.7624
0.7053 0.4675 0.7624
0.2947 0.5325 0.2376
0.5325 0.9351 0.2376
0.0649 0.7053 0.7624
0.1062 0.3566 0.7182
0.3566 0.8190 0.7182
0.6434 0.1810 0.2818
0.1810 0.8938 0.2818
0.8938 0.6434 0.2818
0.8190 0.1062 0.7182
0.3366 0.3366 0.9901
0.6634 0.6634 0.0099
```

Properties
For the uncorrected energy, the calculation gives -5.737 eV/atom. For the raw formation energy, the calculation gives -1.62 eV per atom.

Entry 3:
Below is a relaxed Zn5Ga2Au12 crystal, with properties calculated at the PBE level.

Cell and atoms, written as POSCAR:
```
Zn5Ga2Au12
1.0
-4.8498 -0.0345 2.6786
2.0839 -7.6070 -2.0551
4.2273 1.8341 7.6776
Ga Zn Au
2 5 12
direct
0.2636 0.0000 0.0000
0.7364 0.0000 0.0000
0.0000 0.0000 0.5000
0.3049 0.6098 0.6265
0.3482 0.6964 0.1465
0.6518 0.3036 0.8535
0.6951 0.3902 0.3735
0.4026 0.3049 0.5964
0.0977 0.6951 0.4036
0.9329 0.8658 0.7366
0.0671 0.1342 0.2634
0.5145 0.0290 0.3278
0.9023 0.3049 0.5964
0.4855 0.9710 0.6722
0.5974 0.6951 0.4036
0.5617 0.6199 0.8862
0.9418 0.3801 0.1138
0.4383 0.3801 0.1138
0.0582 0.6199 0.8862
```

Properties
As for the formation energy: -1.5 eV per formula unit. For the uncorrected energy, the calculation gives -2.804 eV/atom.

Number 1: calculated volume 222.0 Å³/cell. Number 2: calculated volume 357.2 Å³/cell. Number 3: calculated volume 362.2 Å³/cell.